VASP calculation (PBE) on crystalline CoSb2Au at its relaxed geometry.

It has space group Pm (No. 6), with a = 4.2206 Å, b = 3.7688 Å, c = 5.2610 Å, α = 90.00°, β = 105.61° and γ = 90.00°. The inequivalent atoms are Co at (0.0000, 0.0000, 0.0000), Sb at (0.5740, 0.5000, 0.9006), Sb at (0.8901, 0.0000, 0.4840) and Au at (0.3445, 0.5000, 0.3442).

Its crystal system is monoclinic. The value obtained for the total energy is -18.199 eV/cell. Its density of states at the Fermi level is 2.23 states/eV per cell.